1.
Compound: Ho3NiSnIr2Pb2
Source: OQMD
Functional: PBE-GGA
Structure: relaxed

Output
Its crystal system is orthorhombic. The calculation puts the total energy at -54.152 eV/cell. The value obtained for the magnetization is 0.00 μB/cell.

a b c (Å): 3.754 7.691 7.691
angles (deg): 120.15 90.00 90.00
Fractional positions:
1 Ho 0.000 0.000 0.000
2 Ho 0.000 0.185 0.586
3 Ho 0.000 0.586 0.185
4 Ni 0.000 0.579 0.579
5 Sn 0.500 0.332 0.332
6 Ir 0.500 0.260 0.934
7 Ir 0.500 0.934 0.260
8 Pb 0.500 0.590 0.849
9 Pb 0.500 0.849 0.590

2.
Compound: Ho2TmNiIr2Pb3
Source: OQMD
Functional: PBE-GGA
Structure: relaxed

Output
Its crystal system is orthorhombic. The calculation puts the total energy at -52.964 eV/cell. The value obtained for the magnetization is 0.00 μB/cell.

a b c (Å): 3.736 7.723 7.723
angles (deg): 119.88 90.00 90.00
Fractional positions:
1 Ho 0.000 0.204 0.796
2 Ho 0.000 0.796 0.204
3 Tm 0.000 0.388 0.388
4 Ni 0.000 0.795 0.795
5 Ir 0.500 0.131 0.462
6 Ir 0.500 0.462 0.131
7 Pb 0.500 0.055 0.055
8 Pb 0.500 0.538 0.796
9 Pb 0.500 0.796 0.538

3.
Compound: YHo2NiIr2Pb3
Source: OQMD
Functional: PBE-GGA
Structure: relaxed

Output
Its crystal system is orthorhombic. The calculation puts the total energy at -54.962 eV/cell. The value obtained for the magnetization is 0.00 μB/cell.

a b c (Å): 3.745 7.753 7.753
angles (deg): 120.10 90.00 90.00
Fractional positions:
1 Y 0.000 0.000 0.000
2 Ho 0.000 0.405 0.811
3 Ho 0.000 0.811 0.405
4 Ni 0.000 0.406 0.406
5 Ir 0.500 0.072 0.738
6 Ir 0.500 0.738 0.072
7 Pb 0.500 0.146 0.406
8 Pb 0.500 0.406 0.146
9 Pb 0.500 0.664 0.664